1.
Mg2AlCl2 at its PBEsol-relaxed geometry, computed with meta-GGA SCAN.

a b c (Å): 5.166 5.568 5.166
angles (deg): 62.36 90.00 117.64
Positions (direct):
Mg (0.750, 0.500, 0.750)
Mg (0.250, 0.500, 0.250)
Al (0.000, 0.000, 0.000)
Cl (0.679, 0.358, 0.321)
Cl (0.321, 0.642, 0.679)

Results
E_form (uncorrected) in eV per atom: -0.359
Crystal system: tetragonal

=====

2.
Pt at its PBEsol-relaxed geometry, computed with meta-GGA SCAN.

a b c (Å): 2.767 2.767 2.767
angles (deg): 60.00 60.00 60.00
Positions (direct):
Pt (0.000, 0.000, 0.000)

Results
DFT total energy in hartree per atom: -2.578
Crystal system: cubic

=====

3.
Gd2Ni2Sn at its PBEsol-relaxed geometry, computed with meta-GGA SCAN.

a b c (Å): 4.226 5.416 5.416
angles (deg): 62.06 67.04 67.04
Positions (direct):
Ni (0.500, 0.713, 0.287)
Ni (0.500, 0.287, 0.713)
Gd (0.797, 0.703, 0.703)
Gd (0.203, 0.297, 0.297)
Sn (0.000, 0.000, 0.000)

Results
DFT total energy in hartree per atom: -1.388
Crystal system: orthorhombic

=====

> Which formula does entry 2 have?

Pt